Entry from the Alexandria database: a relaxed SnBiS crystal (GGA-PBE).

Results
E_form (uncorrected) = -0.11 eV per atom
Distance to the lowest polymorph of the same formula = 0 meV/atom
D(E_F) = 1.8 states/eV/cell
Final energy = -4.111 eV/atom

a b c (Å): 5.785 5.785 9.612
angles (deg): 114.17 114.17 37.13
Positions (direct):
1 Sn 0.176 0.176 0.128
2 Sn 0.824 0.824 0.872
3 Bi 0.380 0.380 0.579
4 Bi 0.620 0.620 0.421
5 S 0.141 0.141 0.823
6 S 0.859 0.859 0.177

---

Entry from the Alexandria database: a relaxed LiCeLuPt crystal (GGA-PBE).

Results
D(E_F) = 7.9 states/eV/cell
Final energy = -5.150 eV/atom
Energy of formation = -0.548 eV/atom

a b c (Å): 4.989 4.989 4.989
angles (deg): 60.00 60.00 60.00
Positions (direct):
1 Li 0.000 0.000 0.000
2 Ce 0.250 0.250 0.250
3 Lu 0.750 0.750 0.750
4 Pt 0.500 0.500 0.500

---

Entry from the Alexandria database: a relaxed Ce3Pr4ScTe8 crystal (GGA-PBE).

Results
E_form (uncorrected) = -1.36 eV per atom
D(E_F) = 26.9 states/eV/cell
Final energy = -5.635 eV/atom

a b c (Å): 8.977 8.977 8.977
angles (deg): 59.63 59.63 59.63
Positions (direct):
1 Ce 0.000 0.500 0.500
2 Ce 0.500 0.000 0.500
3 Ce 0.500 0.500 0.000
4 Pr 0.000 0.000 0.500
5 Pr 0.000 0.500 0.000
6 Pr 0.500 0.000 0.000
7 Pr 0.500 0.500 0.500
8 Sc 0.000 0.000 0.000
9 Te 0.240 0.240 0.757
10 Te 0.240 0.757 0.240
11 Te 0.243 0.760 0.760
12 Te 0.251 0.251 0.251
13 Te 0.749 0.749 0.749
14 Te 0.757 0.240 0.240
15 Te 0.760 0.243 0.760
16 Te 0.760 0.760 0.243

---

Entry from the Alexandria database: a relaxed Mg2AgOs crystal (GGA-PBE).

Results
D(E_F) = 2.6 states/eV/cell
Final energy = -4.157 eV/atom
Energy of formation = 0.160 eV/atom

a b c (Å): 5.325 5.325 4.905
angles (deg): 109.03 109.03 31.01
Positions (direct):
1 Mg 0.000 0.000 0.000
2 Mg 0.228 0.228 0.592
3 Ag 0.751 0.751 0.104
4 Os 0.485 0.485 0.501

---

Entry from the Alexandria database: a relaxed K2ThAs2S6 crystal (GGA-PBE).

Results
E_form (uncorrected) = -0.93 eV per atom
Final energy = -4.905 eV/atom

a b c (Å): 6.616 6.616 8.530
angles (deg): 108.52 108.52 66.12
Positions (direct):
1 K 0.191 0.191 0.136
2 K 0.809 0.809 0.864
3 Th 0.000 0.000 0.500
4 As 0.424 0.424 0.788
5 As 0.576 0.576 0.212
6 S 0.202 0.702 0.226
7 S 0.257 0.257 0.537
8 S 0.298 0.798 0.774
9 S 0.702 0.202 0.226
10 S 0.743 0.743 0.463
11 S 0.798 0.298 0.774

---

Entry from the Alexandria database: a relaxed HfMn5Tc crystal (GGA-PBE).

Results
D(E_F) = 28.5 states/eV/cell
Final energy = -9.586 eV/atom
Energy of formation = -0.134 eV/atom

a b c (Å): 7.920 4.729 9.864
angles (deg): 90.00 90.00 90.00
Positions (direct):
1 Hf 0.248 0.250 0.061
2 Hf 0.252 0.750 0.561
3 Hf 0.748 0.250 0.439
4 Hf 0.752 0.750 0.939
5 Mn 0.054 0.750 0.088
6 Mn 0.074 0.009 0.310
7 Mn 0.074 0.491 0.310
8 Mn 0.085 0.250 0.525
9 Mn 0.191 0.250 0.752
10 Mn 0.309 0.750 0.252
11 Mn 0.415 0.750 0.025
12 Mn 0.426 0.509 0.810
13 Mn 0.426 0.991 0.810
14 Mn 0.446 0.250 0.588
15 Mn 0.554 0.750 0.412
16 Mn 0.574 0.009 0.190
17 Mn 0.574 0.491 0.190
18 Mn 0.585 0.250 0.975
19 Mn 0.691 0.250 0.748
20 Mn 0.809 0.750 0.248
21 Mn 0.915 0.750 0.475
22 Mn 0.926 0.509 0.690
23 Mn 0.926 0.991 0.690
24 Mn 0.946 0.250 0.912
25 Tc 0.135 0.750 0.852
26 Tc 0.365 0.250 0.352
27 Tc 0.635 0.750 0.648
28 Tc 0.865 0.250 0.148